5
Lattice="4.940 0.000 0.000 0.000 4.940 0.000 0.000 0.000 5.181" Properties=species:S:1:pos:R:3 comment="KAs2WSe (PBE-GGA, optimized geometry)" dft_energy_ev_per_atom=-5.39 magnetic_moment_mub_per_cell=0.00 relative_energy_mev_per_atom=0 pbc="T T T"
K 0.000 0.000 0.000
As 0.000 2.470 2.591
As 2.470 0.000 2.591
W 2.470 2.470 2.591
Se 2.470 2.470 0.000

---

7
Lattice="-3.087 3.087 6.089 3.087 -3.087 6.089 3.087 3.087 -6.089" Properties=species:S:1:pos:R:3 comment="Tb3Te4 (PBE-GGA, optimized geometry)" dft_energy_ev_per_atom=-5.16 magnetic_moment_mub_per_cell=0.00 pbc="T T T"
Tb 0.000 0.000 0.000
Tb 3.087 0.000 3.045
Tb 0.000 3.087 3.045
Te 3.087 0.000 0.000
Te 0.000 0.000 3.128
Te 0.000 3.087 0.000
Te 0.000 0.000 9.050

---

12
Lattice="3.097 -5.361 0.000 3.097 5.361 0.000 -2.055 0.000 11.632" Properties=species:S:1:pos:R:3 comment="Pm3SmY2Ho6 (PBE-GGA, optimized geometry)" dft_energy_ev_per_atom=-4.93 magnetic_moment_mub_per_cell=0.00 formation_enthalpy_0k_mev_per_atom=18 pbc="T T T"
Pm 0.000 0.000 0.000
Pm 3.097 1.789 0.000
Pm 3.097 -1.789 0.000
Sm 2.070 0.000 5.816
Y 2.070 3.573 5.816
Y 2.070 -3.573 5.816
Ho 1.035 1.785 2.923
Ho 0.010 0.000 8.709
Ho 1.035 -1.785 2.923
Ho 3.105 1.785 8.709
Ho 4.130 0.000 2.923
Ho 3.105 -1.785 8.709

---

4
Lattice="2.203 1.272 7.187 -2.203 1.272 7.187 0.000 -2.544 7.187" Properties=species:S:1:pos:R:3 comment="La2SbIr (PBE-GGA, optimized geometry)" dft_energy_ev_per_atom=-6.56 magnetic_moment_mub_per_cell=0.00 pbc="T T T"
La 0.000 0.000 5.161
La 0.000 0.000 16.400
Sb 0.000 0.000 0.000
Ir 0.000 0.000 10.780

---

4
Lattice="3.756 0.000 0.000 0.000 3.756 0.000 0.000 0.000 3.729" Properties=species:S:1:pos:R:3 comment="MnFePt2 (PBE-GGA, optimized geometry)" dft_energy_ev_per_atom=-7.38 magnetic_moment_mub_per_cell=0.00 formation_enthalpy_0k_mev_per_atom=53 pbc="T T T"
Mn 0.000 0.000 0.000
Fe 1.878 1.878 0.000
Pt 0.000 1.878 1.864
Pt 1.878 0.000 1.864

---

15
Lattice="9.511 0.000 0.000 -4.755 8.237 0.000 0.000 0.000 6.760" Properties=species:S:1:pos:R:3 comment="Pr6Nd8Sn (PBE-GGA, optimized geometry)" dft_energy_ev_per_atom=-4.71 magnetic_moment_mub_per_cell=0.00 formation_enthalpy_0k_mev_per_atom=14 pbc="T T T"
Pr -2.228 5.345 1.127
Pr 1.240 3.634 1.127
Pr 3.768 0.743 5.633
Pr 0.988 7.494 1.127
Pr 3.515 4.602 5.633
Pr 6.983 2.891 5.633
Nd -3.301 6.371 4.596
Nd 0.888 2.192 4.596
Nd 2.343 0.327 2.164
Nd 0.000 5.491 4.244
Nd 4.755 2.746 2.516
Nd 2.413 7.910 4.596
Nd 3.867 6.044 2.164
Nd 8.056 1.865 2.164
Sn 0.000 0.000 0.000

---

19
Lattice="4.613 2.663 4.532 -4.613 2.663 4.532 0.000 -5.327 4.532" Properties=species:S:1:pos:R:3 comment="La2Pd17 (PBE-GGA, optimized geometry)" dft_energy_ev_per_atom=-5.51 magnetic_moment_mub_per_cell=0.00 formation_enthalpy_0k_mev_per_atom=-348 pbc="T T T"
La 0.000 0.000 2.277
La 0.000 0.000 11.318
Pd -2.307 -1.332 4.532
Pd 0.000 -2.697 4.360
Pd -2.336 1.349 4.360
Pd -1.393 -2.413 6.797
Pd -2.786 0.000 6.797
Pd -2.336 -1.349 9.235
Pd 0.000 0.000 5.428
Pd -2.306 1.332 9.063
Pd 1.393 -2.413 6.797
Pd 0.000 2.663 4.532
Pd -1.393 2.413 6.797
Pd 0.000 0.000 8.166
Pd 2.336 1.349 4.360
Pd 2.786 0.000 6.797
Pd 1.393 2.413 6.797
Pd 2.336 -1.349 9.235
Pd 0.000 2.697 9.235

---

4
Lattice="4.837 0.000 0.000 0.000 4.837 0.000 0.000 0.000 4.591" Properties=species:S:1:pos:R:3 comment="Dy2PuTe (PBE-GGA, optimized geometry)" dft_energy_ev_per_atom=-7.05 magnetic_moment_mub_per_cell=6.44 relative_energy_mev_per_atom=78 pbc="T T T"
Dy 0.000 2.418 0.000
Dy 2.418 0.000 0.000
Pu 0.000 0.000 2.295
Te 2.418 2.418 2.295

---

14
Lattice="7.434 0.000 0.000 0.000 5.615 0.000 -3.620 0.000 6.958" Properties=species:S:1:pos:R:3 comment="KReAgO4 (PBE-GGA, optimized geometry)" dft_energy_ev_per_atom=-6.53 magnetic_moment_mub_per_cell=0.00 pbc="T T T"
K -0.688 1.404 1.513
K 4.503 4.212 5.445
Re -0.671 1.404 5.578
Re 4.485 4.212 1.380
Ag 1.434 4.212 3.645
Ag 2.381 1.404 3.313
O -2.184 1.404 6.499
O -0.671 5.614 4.528
O -0.671 2.809 4.528
O 3.062 4.212 0.354
O 0.752 1.404 6.604
O 4.486 0.001 2.430
O 4.486 2.807 2.430
O 5.998 4.212 0.459

---

4
Lattice="4.143 0.000 0.000 0.000 3.625 0.000 -0.249 0.000 6.790" Properties=species:S:1:pos:R:3 comment="AlCdSe2 (PBE-GGA, optimized geometry)" dft_energy_ev_per_atom=-3.20 magnetic_moment_mub_per_cell=0.00 relative_energy_mev_per_atom=232 pbc="T T T"
Al 0.000 0.000 0.000
Cd 1.947 0.000 3.395
Se 0.622 1.812 1.609
Se 3.272 1.812 5.181

---

6
Lattice="2.108 -5.015 0.000 2.108 5.015 0.000 0.000 0.000 5.757" Properties=species:S:1:pos:R:3 comment="ScCdGe (PBE-GGA, optimized geometry)" dft_energy_ev_per_atom=-4.34 magnetic_moment_mub_per_cell=0.00 formation_enthalpy_0k_mev_per_atom=-386 pbc="T T T"
Sc 2.108 3.101 4.318
Sc 2.108 -3.101 1.439
Cd 2.108 0.000 0.000
Cd 2.108 0.000 2.878
Ge 2.108 3.696 1.439
Ge 2.108 -3.696 4.318

---

4
Lattice="3.720 0.000 0.000 0.000 3.720 0.000 0.000 0.000 8.100" Properties=species:S:1:pos:R:3 comment="PrZrBi2 (PBE-GGA, optimized geometry)" dft_energy_ev_per_atom=-5.71 magnetic_moment_mub_per_cell=0.13 formation_enthalpy_0k_mev_per_atom=-440 relative_energy_mev_per_atom=128 pbc="T T T"
Pr 0.000 0.000 0.000
Zr 0.000 0.000 4.050
Bi 1.860 1.860 2.253
Bi 1.860 1.860 5.847

---

8
Lattice="2.380 1.374 8.823 -2.380 1.374 8.823 0.000 -2.748 8.823" Properties=species:S:1:pos:R:3 comment="PuCdIn2Au4 (PBE-GGA, optimized geometry)" dft_energy_ev_per_atom=-4.50 magnetic_moment_mub_per_cell=5.41 formation_enthalpy_0k_mev_per_atom=-270 pbc="T T T"
Pu 0.000 0.000 0.000
Cd 0.000 0.000 13.235
In 0.000 0.000 6.560
In 0.000 0.000 19.910
Au 0.000 0.000 3.418
Au 0.000 0.000 10.248
Au 0.000 0.000 16.223
Au 0.000 0.000 23.052

---

5
Lattice="5.063 0.000 0.000 0.000 5.063 0.000 0.000 0.000 5.063" Properties=species:S:1:pos:R:3 comment="TaZnSn3 (PBE-GGA, optimized geometry)" dft_energy_ev_per_atom=-3.90 magnetic_moment_mub_per_cell=0.00 formation_enthalpy_0k_mev_per_atom=1124 relative_energy_mev_per_atom=682 pbc="T T T"
Ta 0.000 0.000 0.000
Zn 2.532 2.532 2.532
Sn 0.000 2.532 2.532
Sn 2.532 0.000 2.532
Sn 2.532 2.532 0.000

---

6
Lattice="3.374 0.000 0.000 -1.687 2.922 0.000 0.000 0.000 15.712" Properties=species:S:1:pos:R:3 comment="HfThHg (PBE-GGA, optimized geometry)" dft_energy_ev_per_atom=-5.82 magnetic_moment_mub_per_cell=0.00 formation_enthalpy_0k_mev_per_atom=72 relative_energy_mev_per_atom=108 pbc="T T T"
Hf 0.000 0.000 0.000
Hf 0.000 1.948 7.856
Th 0.000 1.948 2.749
Th 0.000 1.948 12.962
Hg 0.000 0.000 5.520
Hg 0.000 0.000 10.192

---

8
Lattice="-4.026 4.026 2.931 4.026 -4.026 2.931 4.026 4.026 -2.931" Properties=species:S:1:pos:R:3 comment="Y2NbIr (PBE-GGA, optimized geometry)" dft_energy_ev_per_atom=-7.73 magnetic_moment_mub_per_cell=0.00 formation_enthalpy_0k_mev_per_atom=232 relative_energy_mev_per_atom=281 pbc="T T T"
Y 6.039 1.657 -0.733
Y 1.657 2.013 0.733
Y -2.013 2.369 2.198
Y 2.369 2.013 3.663
Nb 4.026 0.000 1.465
Nb 0.000 0.000 2.931
Ir 0.000 0.000 0.000
Ir 0.000 4.026 1.465

---

4
Lattice="3.275 0.000 0.000 0.000 3.022 0.000 -1.332 0.000 4.842" Properties=species:S:1:pos:R:3 comment="BeIN2 (PBE-GGA, optimized geometry)" dft_energy_ev_per_atom=-4.62 magnetic_moment_mub_per_cell=0.00 relative_energy_mev_per_atom=915 pbc="T T T"
Be 0.000 0.000 0.000
I 1.201 1.511 2.403
N -0.033 1.511 0.856
N 0.278 0.000 3.895

---

5
Lattice="4.475 0.000 0.000 0.000 4.475 0.000 0.000 0.000 4.798" Properties=species:S:1:pos:R:3 comment="CaSiMo2Ru (PBE-GGA, optimized geometry)" dft_energy_ev_per_atom=-4.99 magnetic_moment_mub_per_cell=0.28 pbc="T T T"
Ca 0.000 0.000 0.000
Si 0.000 0.000 2.399
Mo 0.000 2.237 0.000
Mo 2.237 0.000 0.000
Ru 2.237 2.237 2.399

---

4
Lattice="2.008 1.159 7.463 -2.008 1.159 7.463 0.000 -2.318 7.463" Properties=species:S:1:pos:R:3 comment="LaCr2Br (PBE-GGA, optimized geometry)" dft_energy_ev_per_atom=-6.36 magnetic_moment_mub_per_cell=0.16 relative_energy_mev_per_atom=85 pbc="T T T"
La 0.000 0.000 0.000
Cr 0.000 0.000 5.537
Cr 0.000 0.000 12.249
Br 0.000 0.000 17.073

---

4
Lattice="3.961 0.000 0.000 0.000 3.961 0.000 0.000 0.000 6.343" Properties=species:S:1:pos:R:3 comment="TmPu2Ga (PBE-GGA, optimized geometry)" dft_energy_ev_per_atom=-9.09 magnetic_moment_mub_per_cell=12.01 formation_enthalpy_0k_mev_per_atom=-49 relative_energy_mev_per_atom=125 pbc="T T T"
Tm 0.000 0.000 0.000
Pu 1.981 1.981 1.749
Pu 1.981 1.981 4.594
Ga 0.000 0.000 3.171